Entry from Alexandria via LeMat-Bulk: a relaxed structure of SbHIrI2 (PBE-GGA).

Calculated values
Energy in eV per cell: -14.1
Total magnetic moment in μB per atom: 0.00

Geometry as POSCAR:
```
SbHIrI2
1.0
5.275 0.000 0.000
0.000 5.275 0.000
0.000 0.000 3.812
Sb H Ir I
1 1 1 2
Direct
0.000 0.000 0.000 Sb
0.000 0.000 0.500 H
0.500 0.500 0.000 Ir
0.000 0.500 0.500 I
0.500 0.000 0.500 I
```